This record from the Alexandria database describes crystalline Na2HgPdC at its relaxed geometry. The functional is GGA-PBE.

a = 5.019 Å, b = 5.019 Å, c = 4.080 Å
α = 90.00°, β = 90.00°, γ = 90.00°
Space group P4/mmm (No. 123)
Asymmetric unit:
Na 0.000 0.500 0.000 [2 per cell]
Hg 0.000 0.000 0.500 [1 per cell]
Pd 0.500 0.500 0.500 [1 per cell]
C 0.000 0.000 0.000 [1 per cell]

For the formation energy from the elements, the calculation gives 74.5 kJ/mol of atoms. As for the electronic total energy: -0.09920 Ha/atom. As for the crystal system: tetragonal.